Entry 1:
Below is CsCu3GeSe4 after structural relaxation, with properties calculated at the PBE level.

Results
SG = P2_1/m (11)
crystal system = monoclinic
energy above the most stable polymorph in this dataset = 0 meV/atom

Cell lengths 5.8655, 7.8239, 10.4380 Å; angles 90.00, 104.31, 90.00 degrees
Fractional positions:
Cs1 0.2044 0.2500 0.3741
Cs2 0.7956 0.7500 0.6259
Cu1 0.2988 0.5656 0.0185
Cu2 0.2988 0.9344 0.0185
Cu3 0.3988 0.7500 0.2293
Cu4 0.6012 0.2500 0.7707
Cu5 0.7012 0.0656 0.9815
Cu6 0.7012 0.4344 0.9815
Ge1 0.1331 0.2500 0.7833
Ge2 0.8669 0.7500 0.2167
Se1 0.0397 0.2500 0.9985
Se2 0.1915 0.7500 0.4006
Se3 0.3687 0.5106 0.7949
Se4 0.3687 0.9894 0.7949
Se5 0.6313 0.0106 0.2051
Se6 0.6313 0.4894 0.2051
Se7 0.8085 0.2500 0.5994
Se8 0.9603 0.7500 0.0015

---

Entry 2:
Below is LiZnNiIr after structural relaxation, with properties calculated at the PBE level.

Results
SG = F-43m (216)
crystal system = cubic
E = -4.48 eV/atom

Cell lengths 4.1318, 4.1318, 4.1318 Å; angles 60.00, 60.00, 60.00 degrees
Fractional positions:
Li1 0.0000 0.0000 0.0000
Zn1 0.2500 0.2500 0.2500
Ni1 0.5000 0.5000 0.5000
Ir1 0.7500 0.7500 0.7500

---

Entry 3:
Below is RbCuNi after structural relaxation, with properties calculated at the PBE level.

Results
SG = F-43m (216)
crystal system = cubic
energy above the most stable polymorph in this dataset = 0 meV/atom

Cell lengths 4.6850, 4.6850, 4.6850 Å; angles 60.00, 60.00, 60.00 degrees
Fractional positions:
Rb1 0.0000 0.0000 0.0000
Cu1 0.5000 0.5000 0.5000
Ni1 0.7500 0.7500 0.7500

---

Entry 4:
Below is Tl3ZnBr6 after structural relaxation, with properties calculated at the PBE level.

Results
SG = Fm-3m (225)
crystal system = cubic
E = -2.53 eV/atom

Cell lengths 7.8175, 7.8175, 7.8175 Å; angles 60.00, 60.00, 60.00 degrees
Fractional positions:
Tl1 0.0000 0.0000 0.0000
Tl2 0.2500 0.2500 0.2500
Tl3 0.7500 0.7500 0.7500
Zn1 0.5000 0.5000 0.5000
Br1 0.2636 0.2636 0.7364
Br2 0.2636 0.7364 0.2636
Br3 0.2636 0.7364 0.7364
Br4 0.7364 0.2636 0.2636
Br5 0.7364 0.2636 0.7364
Br6 0.7364 0.7364 0.2636

---

Entry 5:
Below is KUTe after structural relaxation, with properties calculated at the PBE level.

Results
SG = F-43m (216)
crystal system = cubic
energy above the most stable polymorph in this dataset = 0 meV/atom

Cell lengths 5.4107, 5.4107, 5.4107 Å; angles 60.00, 60.00, 60.00 degrees
Fractional positions:
K1 0.0000 0.0000 0.0000
U1 0.5000 0.5000 0.5000
Te1 0.2500 0.2500 0.2500

---

Entry 6:
Below is InAgTeIrS2 after structural relaxation, with properties calculated at the PBE level.

Results
SG = Cmcm (63)
crystal system = orthorhombic
E = -4.45 eV/atom

Cell lengths 7.8927, 7.8927, 10.2553 Å; angles 90.00, 90.00, 154.00 degrees
Fractional positions:
In1 0.1984 0.8016 0.7500
In2 0.8016 0.1984 0.2500
Ag1 0.1559 0.8441 0.2500
Ag2 0.8441 0.1559 0.7500
Te1 0.4615 0.5385 0.2500
Te2 0.5385 0.4615 0.7500
Ir1 0.5000 0.5000 0.0000
Ir2 0.5000 0.5000 0.5000
S1 0.1049 0.8951 0.0152
S2 0.1049 0.8951 0.4848
S3 0.8951 0.1049 0.5152
S4 0.8951 0.1049 0.9848

---

Entry 7:
Below is CuReB2 after structural relaxation, with properties calculated at the PBE level.

Results
SG = F-43m (216)
crystal system = cubic
E = -6.10 eV/atom

Cell lengths 3.8710, 3.8710, 3.8710 Å; angles 60.00, 60.00, 60.00 degrees
Fractional positions:
Cu1 0.0000 0.0000 0.0000
Re1 0.7500 0.7500 0.7500
B1 0.2500 0.2500 0.2500
B2 0.5000 0.5000 0.5000

---

Entry 8:
Below is BaDyTa after structural relaxation, with properties calculated at the PBE level.

Results
SG = F-43m (216)
crystal system = cubic
energy above the most stable polymorph in this dataset = 240 meV/atom

Cell lengths 5.1503, 5.1503, 5.1503 Å; angles 60.00, 60.00, 60.00 degrees
Fractional positions:
Ba1 0.0000 0.0000 0.0000
Dy1 0.7500 0.7500 0.7500
Ta1 0.2500 0.2500 0.2500